(1)
Computed, not measured: crystalline PrMgZn2Ga2 at its relaxed geometry at the PBE level of DFT.

It has space group P-3m1 (No. 164), with a = 4.4093 Å, b = 4.4093 Å, c = 7.0657 Å, α = 90.00°, β = 90.00° and γ = 120.00°. The asymmetric unit holds Pr at (0.0000, 0.0000, 0.0000), Mg at (0.0000, 0.0000, 0.5000), Zn at (0.3333, 0.6667, 0.7109) and Ga at (0.3333, 0.6667, 0.2659).

The calculation puts the density at 6.079 g/cm³. The total moment comes out at 0.0 μB per formula unit. The formation energy comes out at -0.42 eV per atom. The value obtained for the final energy is -2.913 eV/atom.

***

(2)
Computed, not measured: crystalline PrMgZrGa at its relaxed geometry at the PBE level of DFT.

It has space group F-43m (No. 216), with a = 7.2086 Å, b = 7.2086 Å, c = 7.2086 Å, α = 90.00°, β = 90.00° and γ = 90.00°. The asymmetric unit holds Pr at (0.0000, 0.0000, 0.0000), Mg at (0.2500, 0.2500, 0.7500), Zr at (0.0000, 0.0000, 0.5000) and Ga at (0.2500, 0.2500, 0.2500).

The calculation puts the density at 5.783 g/cm³. The total moment comes out at 0.0 μB per formula unit. The formation energy comes out at -0.19 eV per atom. The value obtained for the final energy is -4.676 eV/atom.

***

(3)
Computed, not measured: crystalline Mg2GaPt6 at its relaxed geometry at the PBE level of DFT.

It has space group C2/m (No. 12), with a = 13.1487 Å, b = 6.0217 Å, c = 4.1706 Å, α = 90.00°, β = 108.42° and γ = 90.00°. The asymmetric unit holds Mg at (0.1655, 0.0000, 0.1650), Ga at (0.0000, 0.5000, 0.5000), Pt at (0.0000, 0.2588, 0.0000) and Pt at (0.1646, 0.2540, 0.6642).

The calculation puts the density at 13.662 g/cm³. The total moment comes out at 0.0 μB per formula unit. The formation energy comes out at -0.34 eV per atom. The value obtained for the final energy is -5.056 eV/atom.

***

(4)
Computed, not measured: crystalline Mg3Ga2Pt at its relaxed geometry at the PBE level of DFT.

It has space group P2_1/c (No. 14), with a = 7.4218 Å, b = 8.0791 Å, c = 7.4737 Å, α = 90.00°, β = 90.80° and γ = 90.00°. The asymmetric unit holds Mg at (0.1424, 0.1269, 0.0401), Mg at (0.2215, 0.7175, 0.1713), Mg at (0.3420, 0.0590, 0.3900), Ga at (0.0218, 0.0710, 0.6655), Ga at (0.4733, 0.6546, 0.4343) and Pt at (0.3659, 0.1138, 0.7498).

The calculation puts the density at 6.040 g/cm³. The total moment comes out at 0.0 μB per formula unit. The formation energy comes out at -0.41 eV per atom. The value obtained for the final energy is -3.227 eV/atom.

***

(5)
Computed, not measured: crystalline Mg2Ga9Pt3 at its relaxed geometry at the PBE level of DFT.

It has space group C2/c (No. 15), with a = 16.0993 Å, b = 7.0986 Å, c = 9.2815 Å, α = 90.00°, β = 108.76° and γ = 90.00°. The asymmetric unit holds Mg at (0.1602, 0.0267, 0.2757), Ga at (0.0000, 0.3201, 0.2500), Ga at (0.0488, 0.1415, 0.9719), Ga at (0.0862, 0.3340, 0.7574), Ga at (0.1441, 0.4351, 0.1007), Ga at (0.2247, 0.4020, 0.4051), Pt at (0.1082, 0.2010, 0.5048) and Pt at (0.2500, 0.2500, 0.0000).

The calculation puts the density at 8.342 g/cm³. The total moment comes out at 0.0 μB per formula unit. The formation energy comes out at -0.35 eV per atom. The value obtained for the final energy is -3.822 eV/atom.

***

(6)
Computed, not measured: crystalline Mg5Ga2Pt at its relaxed geometry at the PBE level of DFT.

It has space group P6_3/mmc (No. 194), with a = 4.5683 Å, b = 4.5683 Å, c = 17.9555 Å, α = 90.00°, β = 90.00° and γ = 120.00°. The asymmetric unit holds Mg at (0.0000, 0.0000, 0.1645), Mg at (0.3333, 0.6667, 0.0480), Mg at (0.3333, 0.6667, 0.2500), Ga at (0.3333, 0.6667, 0.6079) and Pt at (0.3333, 0.6667, 0.7500).

The calculation puts the density at 4.667 g/cm³. The total moment comes out at 0.0 μB per formula unit. The formation energy comes out at -0.34 eV per atom. The value obtained for the final energy is -2.848 eV/atom.

***

(7)
Computed, not measured: crystalline MgGa3Pt2 at its relaxed geometry at the PBE level of DFT.

It has space group C2/m (No. 12), with a = 17.9241 Å, b = 3.9877 Å, c = 10.4067 Å, α = 90.00°, β = 122.79° and γ = 90.00°. The asymmetric unit holds Mg at (0.0000, 0.0000, 0.0000), Mg at (0.1703, 0.0000, 0.6646), Ga at (0.0000, 0.5000, 0.5000), Ga at (0.0042, 0.0000, 0.6951), Ga at (0.1243, 0.5000, 0.1829), Ga at (0.1931, 0.5000, 0.9481), Ga at (0.2078, 0.0000, 0.3924), Pt at (0.0403, 0.5000, 0.8823), Pt at (0.1196, 0.5000, 0.4306) and Pt at (0.1955, 0.0000, 0.1304).

The calculation puts the density at 9.936 g/cm³. The total moment comes out at 0.0 μB per formula unit. The formation energy comes out at -0.56 eV per atom. The value obtained for the final energy is -4.348 eV/atom.

***

(8)
Computed, not measured: crystalline Mg4Ga3Pt2 at its relaxed geometry at the PBE level of DFT.

It has space group C2/m (No. 12), with a = 13.8688 Å, b = 4.3008 Å, c = 5.5648 Å, α = 90.00°, β = 98.91° and γ = 90.00°. The asymmetric unit holds Mg at (0.0854, 0.0000, 0.3714), Mg at (0.2128, 0.5000, 0.1813), Ga at (0.0000, 0.5000, 0.0000), Ga at (0.1423, 0.5000, 0.6655) and Pt at (0.0995, 0.0000, 0.8934).

The calculation puts the density at 7.055 g/cm³. The total moment comes out at 0.0 μB per formula unit. The formation energy comes out at -0.54 eV per atom. The value obtained for the final energy is -3.598 eV/atom.

***

(9)
Computed, not measured: crystalline MgGa3Pt at its relaxed geometry at the PBE level of DFT.

It has space group Pm-3m (No. 221), with a = 4.8915 Å, b = 4.8915 Å, c = 4.8915 Å, α = 90.00°, β = 90.00° and γ = 90.00°. The asymmetric unit holds Mg at (0.0000, 0.0000, 0.0000), Ga at (0.0000, 0.5000, 0.5000) and Pt at (0.5000, 0.5000, 0.5000).

The calculation puts the density at 6.080 g/cm³. The total moment comes out at 0.0 μB per formula unit. The formation energy comes out at -0.11 eV per atom. The value obtained for the final energy is -3.452 eV/atom.

***

(10)
Computed, not measured: crystalline Mg3GaPt6 at its relaxed geometry at the PBE level of DFT.

It has space group P2_1/m (No. 11), with a = 7.5124 Å, b = 4.5802 Å, c = 9.8322 Å, α = 90.00°, β = 111.88° and γ = 90.00°. The asymmetric unit holds Mg at (0.0344, 0.2500, 0.3763), Mg at (0.1261, 0.7500, 0.2134), Mg at (0.2807, 0.2500, 0.9844), Ga at (0.4580, 0.2500, 0.5845), Pt at (0.0431, 0.7500, 0.9230), Pt at (0.1726, 0.2500, 0.6732), Pt at (0.2509, 0.7500, 0.5075), Pt at (0.3459, 0.7500, 0.8224), Pt at (0.3507, 0.2500, 0.2991) and Pt at (0.4343, 0.7500, 0.1375).

The calculation puts the density at 13.891 g/cm³. The total moment comes out at 0.0 μB per formula unit. The formation energy comes out at -0.69 eV per atom. The value obtained for the final energy is -5.100 eV/atom.

***

(11)
Computed, not measured: crystalline MgGa3Pt at its relaxed geometry at the PBE level of DFT.

It has space group Pnma (No. 62), with a = 5.4984 Å, b = 8.5195 Å, c = 7.7711 Å, α = 90.00°, β = 90.00° and γ = 90.00°. The asymmetric unit holds Mg at (0.2460, 0.2500, 0.1364), Ga at (0.1335, 0.5730, 0.3102), Ga at (0.2229, 0.2500, 0.5065) and Pt at (0.0000, 0.0000, 0.0000).

The calculation puts the density at 7.820 g/cm³. The total moment comes out at 0.0 μB per formula unit. The formation energy comes out at -0.39 eV per atom. The value obtained for the final energy is -3.731 eV/atom.

***

(12)
Computed, not measured: crystalline Mg7Ga2Pt2 at its relaxed geometry at the PBE level of DFT.

It has space group Cmmm (No. 65), with a = 7.4440 Å, b = 9.6817 Å, c = 6.6673 Å, α = 90.00°, β = 90.00° and γ = 90.00°. The asymmetric unit holds Mg at (0.0000, 0.0000, 0.0000), Mg at (0.0000, 0.5000, 0.2393), Mg at (0.2500, 0.2500, 0.2705), Ga at (0.1727, 0.0000, 0.5000) and Pt at (0.0000, 0.2791, 0.0000).

The calculation puts the density at 4.836 g/cm³. The total moment comes out at 0.0 μB per formula unit. The formation energy comes out at -0.30 eV per atom. The value obtained for the final energy is -2.963 eV/atom.

***

(13)
Computed, not measured: crystalline Mg2Ga3Pt4 at its relaxed geometry at the PBE level of DFT.

It has space group Cmce (No. 64), with a = 5.6279 Å, b = 15.0613 Å, c = 7.2131 Å, α = 90.00°, β = 90.00° and γ = 90.00°. The asymmetric unit holds Mg at (0.0000, 0.0955, 0.0928), Ga at (0.0000, 0.0000, 0.5000), Ga at (0.2500, 0.2346, 0.7500), Pt at (0.0000, 0.1727, 0.4637) and Pt at (0.2500, 0.0642, 0.7500).

The calculation puts the density at 11.278 g/cm³. The total moment comes out at 0.0 μB per formula unit. The formation energy comes out at -0.72 eV per atom. The value obtained for the final energy is -4.770 eV/atom.

***

(14)
Computed, not measured: crystalline Mg8Ga2Pt at its relaxed geometry at the PBE level of DFT.

It has space group C2/m (No. 12), with a = 15.5433 Å, b = 4.6384 Å, c = 6.6987 Å, α = 90.00°, β = 113.89° and γ = 90.00°. The asymmetric unit holds Mg at (0.0199, 0.0000, 0.2903), Mg at (0.1022, 0.5000, 0.9298), Mg at (0.1598, 0.5000, 0.4283), Mg at (0.1862, 0.0000, 0.7585), Ga at (0.1794, 0.0000, 0.1756) and Pt at (0.0000, 0.5000, 0.5000).

The calculation puts the density at 3.978 g/cm³. The total moment comes out at 0.0 μB per formula unit. The formation energy comes out at -0.27 eV per atom. The value obtained for the final energy is -2.533 eV/atom.

***

(15)
Computed, not measured: crystalline Mg5Ga5Pt2 at its relaxed geometry at the PBE level of DFT.

It has space group C2/m (No. 12), with a = 14.2160 Å, b = 4.3804 Å, c = 9.5274 Å, α = 90.00°, β = 131.27° and γ = 90.00°. The asymmetric unit holds Mg at (0.0000, 0.0000, 0.0000), Mg at (0.1275, 0.0000, 0.8378), Mg at (0.1722, 0.0000, 0.5197), Ga at (0.0000, 0.5000, 0.5000), Ga at (0.0559, 0.5000, 0.2619), Ga at (0.2356, 0.5000, 0.7656) and Pt at (0.1496, 0.5000, 0.0822).

The calculation puts the density at 6.407 g/cm³. The total moment comes out at 0.0 μB per formula unit. The formation energy comes out at -0.43 eV per atom. The value obtained for the final energy is -3.364 eV/atom.

***

(16)
Computed, not measured: crystalline MgGaPt5 at its relaxed geometry at the PBE level of DFT.

It has space group P4/mmm (No. 123), with a = 3.9584 Å, b = 3.9584 Å, c = 7.3077 Å, α = 90.00°, β = 90.00° and γ = 90.00°. The asymmetric unit holds Mg at (0.0000, 0.0000, 0.0000), Ga at (0.5000, 0.5000, 0.5000), Pt at (0.0000, 0.5000, 0.2743) and Pt at (0.5000, 0.5000, 0.0000).

The calculation puts the density at 15.509 g/cm³. The total moment comes out at 0.0 μB per formula unit. The formation energy comes out at -0.50 eV per atom. The value obtained for the final energy is -5.471 eV/atom.

***

(17)
Computed, not measured: crystalline MgGa4Pt at its relaxed geometry at the PBE level of DFT.

It has space group P-1 (No. 2), with a = 4.5363 Å, b = 6.9569 Å, c = 7.6358 Å, α = 111.10°, β = 93.52° and γ = 94.87°. The asymmetric unit holds Mg at (0.2248, 0.1297, 0.2720), Ga at (0.0290, 0.6121, 0.8816), Ga at (0.2370, 0.9111, 0.5361), Ga at (0.3430, 0.1076, 0.9115), Ga at (0.4858, 0.4054, 0.6435), Pt at (0.0000, 0.5000, 0.5000) and Pt at (0.5000, 0.5000, 0.0000).

The calculation puts the density at 7.424 g/cm³. The total moment comes out at 0.0 μB per formula unit. The formation energy comes out at -0.29 eV per atom. The value obtained for the final energy is -3.580 eV/atom.

***

(18)
Computed, not measured: crystalline Mg2Ga2Pt at its relaxed geometry at the PBE level of DFT.

It has space group I4_1/amd (No. 141, origin choice 2), with a = 4.2561 Å, b = 4.2561 Å, c = 21.6648 Å, α = 90.00°, β = 90.00° and γ = 90.00°. The asymmetric unit holds Mg at (0.0000, 0.2500, 0.0507), Ga at (0.0000, 0.2500, 0.1941) and Pt at (0.0000, 0.2500, 0.3750).

The calculation puts the density at 6.485 g/cm³. The total moment comes out at 0.0 μB per formula unit. The formation energy comes out at -0.41 eV per atom. The value obtained for the final energy is -3.463 eV/atom.

***

(19)
Computed, not measured: crystalline Mg2Ga2Pt at its relaxed geometry at the PBE level of DFT.

It has space group P4/mbm (No. 127), with a = 6.5795 Å, b = 6.5795 Å, c = 4.1576 Å, α = 90.00°, β = 90.00° and γ = 90.00°. The asymmetric unit holds Mg at (0.1728, 0.3272, 0.0000), Ga at (0.1343, 0.6343, 0.5000) and Pt at (0.0000, 0.0000, 0.5000).

The calculation puts the density at 7.070 g/cm³. The total moment comes out at 0.0 μB per formula unit. The formation energy comes out at -0.43 eV per atom. The value obtained for the final energy is -3.491 eV/atom.

***

(20)
Computed, not measured: crystalline Mg2GaPt2 at its relaxed geometry at the PBE level of DFT.

It has space group P4/mbm (No. 127), with a = 7.7755 Å, b = 7.7755 Å, c = 2.8680 Å, α = 90.00°, β = 90.00° and γ = 90.00°. The asymmetric unit holds Mg at (0.1376, 0.3624, 0.0000), Ga at (0.0000, 0.0000, 0.0000) and Pt at (0.1576, 0.6576, 0.5000).

The calculation puts the density at 9.739 g/cm³. The total moment comes out at 0.0 μB per formula unit. The formation energy comes out at -0.53 eV per atom. The value obtained for the final energy is -4.190 eV/atom.